VASP calculation (GGA-PBE) on a relaxed structure of DyTh2Se6.

Lattice parameters (Å, degrees): 6.783 6.783 13.069 90.00 90.00 90.00
Atoms (fractional coordinates):
Dy: 0.500 0.500 0.000
Dy: 0.000 0.000 0.500
Th: 0.500 0.500 0.332
Th: 0.500 0.500 0.668
Th: 0.000 0.000 0.168
Th: 0.000 0.000 0.832
Se: 0.698 0.698 0.163
Se: 0.698 0.698 0.837
Se: 0.699 0.699 0.500
Se: 0.801 0.199 0.000
Se: 0.802 0.198 0.337
Se: 0.802 0.198 0.663
Se: 0.198 0.802 0.337
Se: 0.198 0.802 0.663
Se: 0.199 0.801 0.000
Se: 0.301 0.301 0.500
Se: 0.302 0.302 0.163
Se: 0.302 0.302 0.837

**Uncorrected formation energy**: -1505.6 meV per atom
**DFT total energy**: -5.99 eV per atom
**DOS at the Fermi energy**: 0.725 states/eV/atom